(1)
The following is a DFT calculation (PBE) of LiZnSe after structural relaxation.

The structure belongs to space group Cm (No. 8); the cell edges are 7.666, 4.422 and 5.083 Å and the angles 90.00°, 91.70° and 90.00°. Symmetry generates all atoms from Li at (0.000, 0.000, 0.000), Zn at (0.333, 0.000, 0.501) and Se at (0.333, 0.000, 0.001).

The density of states at the Fermi level is 0.67 states/eV/cell. As for the raw formation energy: -138 kJ/mol of formula units. The value obtained for the final energy is -2.700 eV per atom.

---

(2)
The following is a DFT calculation (PBE) of LiZnSe after structural relaxation.

The structure belongs to space group I4mm (No. 107); the cell edges are 3.050, 3.050 and 12.009 Å and the angles 90.00°, 90.00° and 90.00°. Symmetry generates all atoms from Li at (0.000, 0.000, 0.000), Zn at (0.000, 0.000, 0.324) and Se at (0.000, 0.000, 0.640).

The density of states at the Fermi level is 1.12 states/eV/cell. As for the raw formation energy: -69 kJ/mol of formula units. The value obtained for the final energy is -2.462 eV per atom.

---

(3)
The following is a DFT calculation (PBE) of LiZnSe4 after structural relaxation.

The structure belongs to space group F-43m (No. 216); the cell edges are 8.166, 8.166 and 8.166 Å and the angles 90.00°, 90.00° and 90.00°. Symmetry generates all atoms from Li at (0.000, 0.000, 0.000), Zn at (0.250, 0.250, 0.250) and Se at (0.124, 0.124, 0.624).

The density of states at the Fermi level is 15.02 states/eV/cell. As for the raw formation energy: 103 kJ/mol of formula units. The value obtained for the final energy is -2.677 eV per atom.

---

(4)
The following is a DFT calculation (PBE) of Li4Zr3Se8 after structural relaxation.

The structure belongs to space group R-3m (No. 166, hexagonal axes); the cell edges are 7.7430, 7.7430 and 20.5397 Å and the angles 90.00°, 90.00° and 120.00°. Symmetry generates all atoms from Li at (0.0000, 0.0000, 0.0000), Li at (0.0000, 0.0000, 0.1339), Li at (0.0000, 0.0000, 0.5000), Zr at (0.0000, 0.5000, 0.0000), Se at (0.0000, 0.0000, 0.2575) and Se at (0.0097, 0.5049, 0.2570).

As for the raw formation energy: -1871 kJ/mol of formula units. The value obtained for the final energy is -5.371 eV per atom.

---

(5)
The following is a DFT calculation (PBE) of LiZr2Se after structural relaxation.

The structure belongs to space group F-43m (No. 216); the cell edges are 6.777, 6.777 and 6.777 Å and the angles 90.00°, 90.00° and 90.00°. Symmetry generates all atoms from Li at (0.000, 0.000, 0.000), Zr at (0.000, 0.000, 0.500), Zr at (0.250, 0.250, 0.250) and Se at (0.250, 0.250, 0.750).

The density of states at the Fermi level is 12.89 states/eV/cell. As for the raw formation energy: 51 kJ/mol of formula units. The value obtained for the final energy is -5.492 eV per atom.

---

(6)
The following is a DFT calculation (PBE) of LiZr2Se after structural relaxation.

The structure belongs to space group C2/m (No. 12); the cell edges are 10.203, 3.757 and 4.526 Å and the angles 90.00°, 116.21° and 90.00°. Symmetry generates all atoms from Li at (0.000, 0.000, 0.000), Zr at (0.237, 0.000, 0.737) and Se at (0.000, 0.500, 0.500).

The density of states at the Fermi level is 6.26 states/eV/cell. As for the raw formation energy: -126 kJ/mol of formula units. The value obtained for the final energy is -5.951 eV per atom.

---

no.,magnetization (μB/f.u.)
1,0.00
2,0.00
3,0.00
4,0.00
5,1.08
6,0.00